This record from Alexandria describes AlTePO2 after structural relaxation. The functional is PBE-GGA.

Lattice parameters (Å, degrees): 3.9792 3.9792 5.3689 90.00 90.00 90.00
Positions (direct):
1 P 0.0000 0.0000 0.5000
2 Te 0.0000 0.0000 0.0000
3 Al 0.5000 0.5000 0.5000
4 O 0.0000 0.5000 0.0000
5 O 0.5000 0.0000 0.0000

Properties
Volume in Å³ per cell: 85
Relative energy among the computed polymorphs in eV per formula unit: 2.69
ΔE_f (raw) in meV per atom: -232
M_tot in μB/f.u.: 0.00

This record from Alexandria describes Sr2In3PdAu12 after structural relaxation. The functional is PBE-GGA.

Lattice parameters (Å, degrees): 8.6334 8.6334 8.6334 63.32 63.32 63.32
Positions (direct):
1 Sr 0.6116 0.6116 0.6116
2 Sr 0.3884 0.3884 0.3884
3 In 0.5000 0.0000 0.0000
4 In 0.0000 0.5000 0.0000
5 In 0.0000 0.0000 0.5000
6 Pd 0.0000 0.0000 0.0000
7 Au 0.3657 0.3657 0.9859
8 Au 0.8640 0.8640 0.3561
9 Au 0.3561 0.8640 0.8640
10 Au 0.9859 0.3657 0.3657
11 Au 0.8640 0.3561 0.8640
12 Au 0.3657 0.9859 0.3657
13 Au 0.6343 0.6343 0.0141
14 Au 0.1360 0.1360 0.6439
15 Au 0.6439 0.1360 0.1360
16 Au 0.0141 0.6343 0.6343
17 Au 0.1360 0.6439 0.1360
18 Au 0.6343 0.0141 0.6343

Properties
Volume in Å³ per cell: 488
ΔH_f (0 K) in kJ/mol of atoms: -10
M_tot in μB/f.u.: 0.00

This record from Alexandria describes Tc2IrW after structural relaxation. The functional is PBE-GGA.

Lattice parameters (Å, degrees): 3.8249 3.8249 9.3661 78.22 78.22 90.00
Positions (direct):
1 Ir 0.0000 0.0000 0.0000
2 Ir 0.7500 0.2500 0.5000
3 Tc 0.6427 0.1250 0.2500
4 Tc 0.1073 0.6250 0.2500
5 Tc 0.3750 0.3573 0.7500
6 Tc 0.8750 0.8927 0.7500
7 W 0.5000 0.5000 0.0000
8 W 0.2500 0.7500 0.5000

Properties
Volume in Å³ per cell: 131
Relative energy among the computed polymorphs in eV per formula unit: 3.10
ΔH_f (0 K) in kJ/mol of atoms: 63
M_tot in μB/f.u.: 0.00